1.
Al2InNi GGA-PBE relaxed; theoretical density = 5805 kg/m3; space group = P4/mmm (123)
1.0
-2.896 -2.502 -1.189
-1.025 -0.630 3.820
-2.603 3.102 -0.187
Ni Al In
1 2 1
Direct
0.000 0.500 0.500 Ni
0.000 0.000 0.000 Al
0.500 0.500 0.000 Al
0.500 0.000 0.500 In

---

2.
Al2InNi GGA-PBE relaxed; theoretical density = 5597 kg/m3; space group = P4/mmm (123)
1.0
-1.037 -2.722 0.319
0.440 -0.501 -2.853
7.256 -2.580 1.572
Ni Al In
1 2 1
Direct
0.500 0.500 0.750 Ni
0.000 0.000 0.932 Al
0.000 0.000 0.568 Al
0.500 0.500 0.250 In

---

3.
AlIn2Ni GGA-PBE relaxed; theoretical density = 7020 kg/m3; space group = Cmmm (65)
1.0
-4.651 1.109 -0.922
1.876 -2.499 -3.735
-0.966 -2.864 1.431
Ni Al In
1 1 2
Direct
0.500 0.000 0.500 Ni
0.000 0.500 0.500 Al
0.000 0.000 0.000 In
0.500 0.500 0.000 In

---

4.
AlInNi6 GGA-PBE relaxed; theoretical density = 8395 kg/m3; space group = P4/mmm (123)
1.0
3.666 0.000 0.000
0.000 3.666 0.000
0.000 0.000 7.270
Al In Ni
1 1 6
Direct
0.000 0.000 0.500 Al
0.000 0.000 0.000 In
0.500 0.500 0.000 Ni
0.500 0.500 0.500 Ni
0.500 0.000 0.266 Ni
0.500 0.000 0.734 Ni
0.000 0.500 0.266 Ni
0.000 0.500 0.734 Ni

---

5.
AlIn2Ni GGA-PBE relaxed; theoretical density = 7040 kg/m3; space group = Pmmm (47)
1.0
3.021 0.000 0.000
0.000 3.952 0.000
0.000 0.000 6.229
Ni Al In
1 1 2
Direct
0.500 0.500 0.250 Ni
0.500 0.500 0.750 Al
0.000 0.000 0.017 In
0.000 0.000 0.483 In

---

6.
Al4InNi15 GGA-PBE relaxed; theoretical density = 7842 kg/m3; space group = P4/mmm (123)
1.0
3.605 0.000 0.000
0.000 3.605 0.000
0.000 0.000 17.974
Al In Ni
4 1 15
Direct
0.000 0.000 0.207 Al
0.000 0.000 0.402 Al
0.000 0.000 0.598 Al
0.000 0.000 0.793 Al
0.000 0.000 0.000 In
0.500 0.500 0.000 Ni
0.500 0.500 0.207 Ni
0.500 0.500 0.402 Ni
0.500 0.500 0.598 Ni
0.500 0.500 0.793 Ni
0.500 0.000 0.110 Ni
0.500 0.000 0.304 Ni
0.500 0.000 0.500 Ni
0.500 0.000 0.696 Ni
0.500 0.000 0.890 Ni
0.000 0.500 0.110 Ni
0.000 0.500 0.304 Ni
0.000 0.500 0.500 Ni
0.000 0.500 0.696 Ni
0.000 0.500 0.890 Ni

---

7.
Al2InNi GGA-PBE relaxed; theoretical density = 5547 kg/m3; space group = C2/m (12)
1.0
4.508 0.038 0.064
3.521 2.815 0.064
1.188 0.422 5.443
Ni Al In
1 2 1
Direct
0.250 0.250 0.250 Ni
0.980 0.980 0.056 Al
0.520 0.520 0.444 Al
0.750 0.750 0.750 In

---

8.
Al2InNi9 GGA-PBE relaxed; theoretical density = 8092 kg/m3; space group = P4/mmm (123)
1.0
3.635 0.000 0.000
0.000 3.635 0.000
0.000 0.000 10.827
Al In Ni
2 1 9
Direct
0.000 0.000 0.339 Al
0.000 0.000 0.661 Al
0.000 0.000 0.000 In
0.500 0.500 0.000 Ni
0.500 0.500 0.340 Ni
0.500 0.500 0.660 Ni
0.500 0.000 0.181 Ni
0.500 0.000 0.500 Ni
0.500 0.000 0.819 Ni
0.000 0.500 0.181 Ni
0.000 0.500 0.500 Ni
0.000 0.500 0.819 Ni

---

9.
AlInNi3 GGA-PBE relaxed; theoretical density = 5411 kg/m3; space group = Pm-3m (221)
1.0
-2.963 2.676 2.291
-3.457 -1.632 -2.564
-0.678 -3.371 3.061
Ni Al In
3 1 1
Direct
0.000 0.500 0.000 Ni
0.000 0.000 0.500 Ni
0.500 0.000 0.000 Ni
0.500 0.500 0.500 Al
0.000 0.000 0.000 In

---

10.
AlIn2Ni GGA-PBE relaxed; theoretical density = 6650 kg/m3; space group = Imm2 (44)
1.0
6.681 0.021 -0.022
4.585 4.860 0.022
-5.220 -3.393 2.423
Ni Al In
1 1 2
Direct
0.513 0.513 0.000 Ni
0.678 0.178 0.500 Al
0.001 0.001 0.000 In
0.307 0.807 0.500 In

---

11.
AlInNi2 GGA-PBE relaxed; theoretical density = 7742 kg/m3; space group = P4/mmm (123)
1.0
-1.678 -1.097 2.195
-2.077 -0.773 -1.974
2.758 -5.620 -0.700
Ni Al In
2 1 1
Direct
0.000 0.000 0.035 Ni
0.000 0.000 0.465 Ni
0.500 0.500 0.250 Al
0.500 0.500 0.750 In

---

12.
AlIn2Ni GGA-PBE relaxed; theoretical density = 6743 kg/m3; space group = Immm (71)
1.0
-3.723 -1.650 3.421
0.410 -5.268 0.606
2.807 4.468 0.666
Ni Al In
1 1 2
Direct
0.250 0.750 0.500 Ni
0.750 0.250 0.500 Al
0.024 0.024 0.000 In
0.476 0.476 0.000 In

---

no.,ΔH_f (0 K) (eV per atom)
1,0.03
2,-0.18
3,0.17
4,-0.23
5,0.14
6,-0.35
7,-0.05
8,-0.30
9,1.08
10,-0.03
11,-0.36
12,0.19